Compound: Pa2PtN
Source: the Alexandria database
Functional: PBE-GGA
Structure: relaxed

Geometry as POSCAR:
```
Pa2PtN
1.0
3.491 0.000 0.000
1.746 3.023 0.000
1.746 1.008 7.126
Pt N Pa
1 1 2
Cartesian
3.491 2.016 3.563 Pt
0.000 0.000 0.000 N
1.746 1.008 1.428 Pa
5.237 3.023 5.698 Pa
```

Summary:
Crystal system: trigonal
SG: R-3m
Energy, eV/atom: -9.40
Polymorph energy (0 for the lowest one), meV per atom: 0.0
Spin magnetization, Bohr magnetons per cell: 0.0
Raw formation energy, eV/atom: -1.059